VASP calculation (GGA+U) on an optimized crystal structure of Dy3Cr5O12.

Calculated values
- E_tot: -7.972 eV/atom

a b c (Å): 10.880 10.880 10.880
angles (deg): 109.47 109.47 109.47
Element x y z (fractional)
Dy 0.750 0.375 0.125
Dy 0.875 0.750 0.125
Dy 0.375 0.750 0.625
Dy 0.250 0.125 0.375
Dy 0.875 0.125 0.250
Dy 0.375 0.625 0.250
Dy 0.625 0.375 0.750
Dy 0.125 0.875 0.750
Dy 0.750 0.875 0.625
Dy 0.625 0.250 0.375
Dy 0.125 0.250 0.875
Dy 0.250 0.625 0.875
Cr 0.125 0.375 0.250
Cr 0.000 0.500 0.000
Cr 0.000 0.000 0.000
Cr 0.375 0.250 0.125
Cr 0.500 0.000 0.500
Cr 0.500 0.500 0.000
Cr 0.125 0.750 0.375
Cr 0.750 0.125 0.875
Cr 0.750 0.625 0.375
Cr 0.375 0.125 0.750
Cr 0.625 0.875 0.250
Cr 0.500 0.500 0.500
Cr 0.500 0.000 0.000
Cr 0.000 0.000 0.500
Cr 0.250 0.375 0.625
Cr 0.250 0.875 0.125
Cr 0.000 0.500 0.500
Cr 0.875 0.250 0.625
Cr 0.625 0.750 0.875
Cr 0.875 0.625 0.750
O 0.705 0.131 0.031
O 0.326 0.531 0.400
O 0.969 0.369 0.295
O 0.531 0.205 0.131
O 0.574 0.705 0.674
O 0.969 0.600 0.174
O 0.326 0.795 0.426
O 0.100 0.926 0.131
O 0.600 0.969 0.674
O 0.705 0.574 0.174
O 0.795 0.469 0.369
O 0.826 0.900 0.031
O 0.131 0.705 0.531
O 0.369 0.400 0.074
O 0.074 0.900 0.369
O 0.426 0.131 0.600
O 0.074 0.174 0.205
O 0.469 0.674 0.100
O 0.826 0.926 0.295
O 0.131 0.426 0.100
O 0.369 0.969 0.795
O 0.600 0.631 0.426
O 0.900 0.826 0.531
O 0.795 0.326 0.926
O 0.400 0.369 0.574
O 0.100 0.174 0.469
O 0.205 0.674 0.074
O 0.174 0.074 0.705
O 0.631 0.031 0.205
O 0.869 0.574 0.900
O 0.531 0.326 0.900
O 0.574 0.869 0.400
O 0.926 0.826 0.795
O 0.926 0.100 0.631
O 0.869 0.295 0.469
O 0.174 0.100 0.969
O 0.631 0.600 0.926
O 0.400 0.031 0.326
O 0.295 0.426 0.826
O 0.205 0.531 0.631
O 0.900 0.074 0.869
O 0.674 0.205 0.574
O 0.469 0.795 0.869
O 0.031 0.400 0.826
O 0.426 0.295 0.326
O 0.031 0.631 0.705
O 0.674 0.469 0.600
O 0.295 0.869 0.969